Record 1
## CePr2Ga3 (PBE)

Data for an optimized crystal structure of CePr2Ga3.

Structure (CIF):
```
data_CePr2Ga3
_chemical_formula_sum 'Ce8 Pr16 Ga24'
_symmetry_space_group_name_H-M 'F m m m'
_symmetry_Int_Tables_number 69
_symmetry_space_group_name_Hall '-F 2 2'
_cell_length_a 7.066
_cell_length_b 9.991
_cell_length_c 16.833
_cell_angle_alpha 90.00
_cell_angle_beta 90.00
_cell_angle_gamma 90.00
loop_
_atom_site_label
_atom_site_fract_x
_atom_site_fract_y
_atom_site_fract_z
_atom_site_occupancy
Ce1 0.000 0.000 0.167 1
Pr1 0.244 0.000 0.500 1
Pr2 0.250 0.250 0.250 1
Ga1 0.000 0.000 0.342 1
Ga2 0.000 0.241 0.421 1
```

Results
Energy of formation, eV/f.u.: -2.26
Density, g cm⁻³: 7.055

---

Record 2
## LiDyGa4Cu2 (PBE)

Data for an optimized crystal structure of LiDyGa4Cu2.

Structure (CIF):
```
data_LiDyGa4Cu2
_chemical_formula_sum 'Li3 Dy3 Ga12 Cu6'
_symmetry_space_group_name_H-M 'R -3 m'
_symmetry_Int_Tables_number 166
_symmetry_space_group_name_Hall '-R 3 2"'
_cell_length_a 4.2079
_cell_length_b 4.2079
_cell_length_c 25.7859
_cell_angle_alpha 90.00
_cell_angle_beta 90.00
_cell_angle_gamma 120.00
loop_
_atom_site_label
_atom_site_fract_x
_atom_site_fract_y
_atom_site_fract_z
_atom_site_occupancy
Li1 0.0000 0.0000 0.0000 1
Dy1 0.0000 0.0000 0.5000 1
Ga1 0.0000 0.0000 0.1009 1
Ga2 0.0000 0.0000 0.3744 1
Cu1 0.0000 0.0000 0.2681 1
```

Results
Energy of formation, eV/f.u.: -2.64
Density, g cm⁻³: 7.250

---

Record 3
## Pa3HgI8 (PBE)

Data for an optimized crystal structure of Pa3HgI8.

Structure (CIF):
```
data_Pa3HgI8
_chemical_formula_sum 'Pa9 Hg3 I24'
_symmetry_space_group_name_H-M 'R -3 m'
_symmetry_Int_Tables_number 166
_symmetry_space_group_name_Hall '-R 3 2"'
_cell_length_a 8.2442
_cell_length_b 8.2442
_cell_length_c 30.8980
_cell_angle_alpha 90.00
_cell_angle_beta 90.00
_cell_angle_gamma 120.00
loop_
_atom_site_label
_atom_site_fract_x
_atom_site_fract_y
_atom_site_fract_z
_atom_site_occupancy
Pa1 0.0000 0.5000 0.0000 1
Hg1 0.0000 0.0000 0.5000 1
I1 0.0000 0.0000 0.2655 1
I2 0.0080 0.5040 0.7296 1
```

Results
Density, g cm⁻³: 5.229
Electronic total energy, eV per atom: -4.17

---

Record 4
## SnAs2Se (PBE)

Data for an optimized crystal structure of SnAs2Se.

Structure (CIF):
```
data_SnAs2Se
_chemical_formula_sum 'Sn4 As8 Se4'
_symmetry_space_group_name_H-M 'I -4 2 d'
_symmetry_Int_Tables_number 122
_symmetry_space_group_name_Hall 'I -4 2bw'
_cell_length_a 5.655
_cell_length_b 5.655
_cell_length_c 14.771
_cell_angle_alpha 90.00
_cell_angle_beta 90.00
_cell_angle_gamma 90.00
loop_
_atom_site_label
_atom_site_fract_x
_atom_site_fract_y
_atom_site_fract_z
_atom_site_occupancy
Sn1 0.000 0.000 0.000 1
As1 0.221 0.250 0.625 1
Se1 0.000 0.000 0.500 1
```

Results
Density, g cm⁻³: 4.886
Electronic total energy, eV per atom: -4.00